# 1
Density functional theory data (GGA-PBE) for a geometry-optimized Pa2Al2ZnIr5 structure.

Output
formation enthalpy at 0 K = -0.569 eV per atom

Unit cell a=9.6585 b=9.6585 c=3.6801 alpha=90.00 beta=90.00 gamma=90.00
Last column: nearest neighbours and their distance in Å.
Positions (direct):
Pa: 0.1802 0.3198 0.0000  3 Al 2.75-2.95, 6 Ir 3.02-3.07
Pa: 0.3198 0.8198 0.0000  3 Al 2.75-2.95, 6 Ir 3.02-3.07
Pa: 0.6802 0.1802 0.0000  3 Al 2.75-2.95, 6 Ir 3.02-3.07
Pa: 0.8198 0.6802 0.0000  3 Al 2.75-2.95, 6 Ir 3.02-3.07
Al: 0.1186 0.6186 0.0000  6 Ir 2.45-2.53
Al: 0.3814 0.1186 0.0000  6 Ir 2.45-2.53
Al: 0.6186 0.8814 0.0000  6 Ir 2.45-2.53
Al: 0.8814 0.3814 0.0000  6 Ir 2.45-2.53
Zn: 0.0000 0.0000 0.0000  8 Ir 2.81
Zn: 0.5000 0.5000 0.0000  8 Ir 2.81
Ir: 0.0000 0.5000 0.5000  4 Al 2.45
Ir: 0.0733 0.7933 0.5000  2 Al 2.53, 2 Zn 2.81
Ir: 0.2067 0.0733 0.5000  2 Al 2.53, 2 Zn 2.81
Ir: 0.2933 0.5733 0.5000  2 Al 2.53, 2 Zn 2.81
Ir: 0.4267 0.2933 0.5000  2 Al 2.53, 2 Zn 2.81
Ir: 0.5000 0.0000 0.5000  4 Al 2.45
Ir: 0.5733 0.7067 0.5000  2 Al 2.53, 2 Zn 2.81
Ir: 0.7067 0.4267 0.5000  2 Al 2.53, 2 Zn 2.81
Ir: 0.7933 0.9267 0.5000  2 Al 2.53, 2 Zn 2.81
Ir: 0.9267 0.2067 0.5000  2 Al 2.53, 2 Zn 2.81


# 2
Density functional theory data (GGA-PBE) for a geometry-optimized Cs3Pa3CuTe8 structure.

Output
energy relative to the elements, uncorrected = -0.793 eV per atom

Unit cell a=10.4986 b=10.4986 c=10.4986 alpha=49.83 beta=49.83 gamma=49.83
Last column: nearest neighbours and their distance in Å.
Positions (direct):
Cs: 0.0000 0.5000 0.5000  6 Te 3.78-3.87
Cs: 0.5000 0.0000 0.5000  6 Te 3.78-3.87
Cs: 0.5000 0.5000 0.0000  6 Te 3.78-3.87
Pa: 0.0000 0.0000 0.5000  6 Te 3.07-3.12
Pa: 0.0000 0.5000 0.0000  6 Te 3.07-3.12
Pa: 0.5000 0.0000 0.0000  6 Te 3.07-3.12
Cu: 0.5000 0.5000 0.5000  6 Te 3.01
Te: 0.2319 0.2319 0.2319  3 Pa 3.12
Te: 0.2335 0.7239 0.7239  1 Cu 3.01, 2 Pa 3.07
Te: 0.2761 0.2761 0.7665  1 Cu 3.01, 2 Pa 3.07
Te: 0.2761 0.7665 0.2761  1 Cu 3.01, 2 Pa 3.07
Te: 0.7239 0.2335 0.7239  1 Cu 3.01, 2 Pa 3.07
Te: 0.7239 0.7239 0.2335  1 Cu 3.01, 2 Pa 3.07
Te: 0.7665 0.2761 0.2761  1 Cu 3.01, 2 Pa 3.07
Te: 0.7681 0.7681 0.7681  3 Pa 3.12


# 3
Density functional theory data (GGA-PBE) for a geometry-optimized LaRuO3 structure.

Output
energy relative to the elements, uncorrected = -2.137 eV per atom

Unit cell a=5.9463 b=7.9051 c=5.4557 alpha=90.00 beta=90.00 gamma=90.00
Last column: nearest neighbours and their distance in Å.
Positions (direct):
La: 0.0689 0.2500 0.0222  6 O 2.38-2.63
La: 0.4311 0.7500 0.5222  6 O 2.38-2.63
La: 0.5689 0.2500 0.4778  6 O 2.38-2.63
La: 0.9311 0.7500 0.9778  6 O 2.38-2.63
Ru: 0.0000 0.0000 0.5000  6 O 2.06-2.11
Ru: 0.0000 0.5000 0.5000  6 O 2.06-2.11
Ru: 0.5000 0.0000 0.0000  6 O 2.06-2.11
Ru: 0.5000 0.5000 0.0000  6 O 2.06-2.11
O: 0.0321 0.7500 0.4008  2 Ru 2.06
O: 0.1992 0.5496 0.8110  2 Ru 2.10-2.11
O: 0.1992 0.9504 0.8110  2 Ru 2.10-2.11
O: 0.3008 0.0496 0.3110  2 Ru 2.10-2.11
O: 0.3008 0.4504 0.3110  2 Ru 2.10-2.11
O: 0.4679 0.2500 0.9008  2 Ru 2.06
O: 0.5321 0.7500 0.0992  2 Ru 2.06
O: 0.6992 0.5496 0.6890  2 Ru 2.10-2.11
O: 0.6992 0.9504 0.6890  2 Ru 2.10-2.11
O: 0.8008 0.0496 0.1890  2 Ru 2.10-2.11
O: 0.8008 0.4504 0.1890  2 Ru 2.10-2.11
O: 0.9679 0.2500 0.5992  2 Ru 2.06


# 4
Density functional theory data (GGA-PBE) for a geometry-optimized InRe2Ni structure.

Output
formation enthalpy at 0 K = 0.483 eV per atom

Unit cell a=2.7504 b=4.5350 c=5.0554 alpha=90.00 beta=101.37 gamma=90.00
Last column: nearest neighbours and their distance in Å.
Positions (direct):
In: 0.0000 0.0000 0.0000  2 Ni 2.63, 2 In 2.75, 4 Re 2.83
Re: 0.3050 0.5000 0.7386  5 Re 2.65-2.83, 2 Ni 2.67, 2 In 2.83
Re: 0.6950 0.5000 0.2614  5 Re 2.65-2.83, 2 Ni 2.67, 2 In 2.83
Ni: 0.5000 0.0000 0.5000  2 In 2.63, 4 Re 2.67, 2 Ni 2.75


# 5
Density functional theory data (GGA-PBE) for a geometry-optimized LiMn2Co structure.

Output
energy above the most stable polymorph in this dataset = 37 kJ/mol of formula units
formation enthalpy at 0 K = 0.275 eV per atom

Unit cell a=4.6474 b=4.6474 c=4.6474 alpha=145.43 beta=131.95 gamma=60.53
Last column: nearest neighbours and their distance in Å.
Positions (direct):
Li: 0.0000 0.0000 0.0000  4 Co 2.34, 4 Mn 2.46
Mn: 0.2534 0.7534 0.5000  4 Mn 2.34, 2 Co 2.41, 2 Li 2.46
Mn: 0.7466 0.2466 0.5000  4 Mn 2.34, 2 Co 2.41, 2 Li 2.46
Co: 0.5000 0.5000 0.0000  4 Li 2.34, 4 Mn 2.41


# 6
Density functional theory data (GGA-PBE) for a geometry-optimized Cd3As2 structure.

Output
formation enthalpy at 0 K = -0.044 eV per atom

Unit cell a=15.9043 b=15.9043 c=15.9043 alpha=132.46 beta=132.46 gamma=69.51
Last column: nearest neighbours and their distance in Å.
Positions (direct):
Cd: 0.0238 0.5627 0.7203  3 As 2.68-2.86
Cd: 0.0425 0.0620 0.7407  4 As 2.57-2.87
Cd: 0.0620 0.8213 0.0194  4 As 2.57-2.87
Cd: 0.0627 0.5238 0.2203  3 As 2.68-2.86
Cd: 0.0836 0.8110 0.4957  4 As 2.69-2.96
Cd: 0.0879 0.3153 0.5043  4 As 2.69-2.96
Cd: 0.1576 0.9373 0.9611  3 As 2.68-2.86
Cd: 0.1787 0.6981 0.2407  4 As 2.57-2.87
Cd: 0.1847 0.4121 0.9957  4 As 2.69-2.96
Cd: 0.1890 0.1847 0.2726  4 As 2.69-2.96
Cd: 0.1965 0.1576 0.7203  3 As 2.68-2.86
Cd: 0.1981 0.6787 0.7407  4 As 2.57-2.87
Cd: 0.3019 0.0425 0.4806  4 As 2.57-2.87
Cd: 0.3035 0.0238 0.9611  3 As 2.68-2.86
Cd: 0.3110 0.5836 0.9957  4 As 2.69-2.96
Cd: 0.3153 0.3110 0.2274  4 As 2.69-2.96
Cd: 0.3213 0.5620 0.5194  4 As 2.57-2.87
Cd: 0.3424 0.3035 0.7797  3 As 2.68-2.86
Cd: 0.4121 0.9164 0.2274  4 As 2.69-2.96
Cd: 0.4164 0.9121 0.7274  4 As 2.69-2.96
Cd: 0.4373 0.6576 0.4611  3 As 2.68-2.86
Cd: 0.4380 0.4575 0.7593  4 As 2.57-2.87
Cd: 0.4575 0.1981 0.0194  4 As 2.57-2.87
Cd: 0.4762 0.1965 0.5389  3 As 2.68-2.86
Cd: 0.5238 0.8035 0.4611  3 As 2.68-2.86
Cd: 0.5425 0.8019 0.9806  4 As 2.57-2.87
Cd: 0.5620 0.5425 0.2407  4 As 2.57-2.87
Cd: 0.5627 0.3424 0.5389  3 As 2.68-2.86
Cd: 0.5836 0.0879 0.2726  4 As 2.69-2.96
Cd: 0.5879 0.0836 0.7726  4 As 2.69-2.96
Cd: 0.6576 0.6965 0.2203  3 As 2.68-2.86
Cd: 0.6787 0.4380 0.4806  4 As 2.57-2.87
Cd: 0.6847 0.6890 0.7726  4 As 2.69-2.96
Cd: 0.6890 0.4164 0.0043  4 As 2.69-2.96
Cd: 0.6965 0.9762 0.0389  3 As 2.68-2.86
Cd: 0.6981 0.9575 0.5194  4 As 2.57-2.87
Cd: 0.8019 0.3213 0.2593  4 As 2.57-2.87
Cd: 0.8035 0.8424 0.2797  3 As 2.68-2.86
Cd: 0.8110 0.8153 0.7274  4 As 2.69-2.96
Cd: 0.8153 0.5879 0.0043  4 As 2.69-2.96
Cd: 0.8213 0.3019 0.7593  4 As 2.57-2.87
Cd: 0.8424 0.0627 0.0389  3 As 2.68-2.86
Cd: 0.9121 0.6847 0.4957  4 As 2.69-2.96
Cd: 0.9164 0.1890 0.5043  4 As 2.69-2.96
Cd: 0.9373 0.4762 0.7797  3 As 2.68-2.86
Cd: 0.9380 0.1787 0.9806  4 As 2.57-2.87
Cd: 0.9575 0.9380 0.2593  4 As 2.57-2.87
Cd: 0.9762 0.4373 0.2797  3 As 2.68-2.86
As: 0.0000 0.0000 0.0000  6 Cd 2.68-2.82
As: 0.0000 0.0000 0.5000  6 Cd 2.68-2.82
As: 0.0000 0.5000 0.0000  6 Cd 2.68-2.82
As: 0.0000 0.5000 0.5000  6 Cd 2.68-2.82
As: 0.1066 0.8566 0.7132  6 Cd 2.73-2.87
As: 0.1250 0.3750 0.7500  8 Cd 2.96-3.04
As: 0.1250 0.8750 0.2500  4 Cd 2.57
As: 0.1434 0.3566 0.2500  6 Cd 2.73-2.87
As: 0.2197 0.7500 0.9697  6 Cd 2.69-2.86
As: 0.2500 0.2197 0.9697  6 Cd 2.69-2.86
As: 0.2500 0.7197 0.4697  6 Cd 2.69-2.86
As: 0.2803 0.2500 0.5303  6 Cd 2.69-2.86
As: 0.3566 0.6066 0.2132  6 Cd 2.73-2.87
As: 0.3750 0.1250 0.2500  8 Cd 2.96-3.04
As: 0.3750 0.6250 0.7500  4 Cd 2.57
As: 0.3934 0.1066 0.7500  6 Cd 2.73-2.87
As: 0.5000 0.0000 0.0000  6 Cd 2.68-2.82
As: 0.5000 0.0000 0.5000  6 Cd 2.68-2.82
As: 0.5000 0.5000 0.0000  6 Cd 2.68-2.82
As: 0.5000 0.5000 0.5000  6 Cd 2.68-2.82
As: 0.6066 0.8934 0.2500  6 Cd 2.73-2.87
As: 0.6250 0.3750 0.2500  4 Cd 2.57
As: 0.6250 0.8750 0.7500  8 Cd 2.96-3.04
As: 0.6434 0.3934 0.7868  6 Cd 2.73-2.87
As: 0.7197 0.7500 0.4697  6 Cd 2.69-2.86
As: 0.7500 0.2803 0.5303  6 Cd 2.69-2.86
As: 0.7500 0.7803 0.0303  6 Cd 2.69-2.86
As: 0.7803 0.2500 0.0303  6 Cd 2.69-2.86
As: 0.8566 0.6434 0.7500  6 Cd 2.73-2.87
As: 0.8750 0.1250 0.7500  4 Cd 2.57
As: 0.8750 0.6250 0.2500  8 Cd 2.96-3.04
As: 0.8934 0.1434 0.2868  6 Cd 2.73-2.87


| no. | total DFT energy (no corrections) (eV per atom) |
| --- | --- |
| 1 | -7.774 |
| 2 | -4.812 |
| 3 | -7.953 |
| 4 | -7.871 |
| 5 | -6.565 |
| 6 | -2.453 |